# PBE-GGA BeSi3S, optimized geometry
# Uncorrected energy   -4.0933 eV/atom
# Energy above the lowest structure with this stoichiometry   0 meV per atom
# Energy relative to the elements, uncorrected   0.73 eV/atom
data_BeSi3S
_symmetry_space_group_name_H-M 'P 1'
_symmetry_Int_Tables_number 1
_symmetry_space_group_name_Hall 'P 1'
_cell_length_a 4.3285
_cell_length_b 4.3285
_cell_length_c 4.3285
_cell_angle_alpha 90.00
_cell_angle_beta 90.00
_cell_angle_gamma 90.00
loop_
_atom_site_label
_atom_site_fract_x
_atom_site_fract_y
_atom_site_fract_z
Be1 0.0000 0.0000 0.0000
Si1 0.0000 0.0000 0.5000
Si2 0.0000 0.5000 0.0000
Si3 0.5000 0.0000 0.0000
S1 0.5000 0.5000 0.5000


# PBE-GGA Be2SiS, optimized geometry
# Uncorrected energy   -3.5380 eV/atom
# Energy above the lowest structure with this stoichiometry   708 meV per atom
# Energy relative to the elements, uncorrected   0.71 eV/atom
data_Be2SiS
_symmetry_space_group_name_H-M 'P 1'
_symmetry_Int_Tables_number 1
_symmetry_space_group_name_Hall 'P 1'
_cell_length_a 4.1151
_cell_length_b 4.1151
_cell_length_c 4.1151
_cell_angle_alpha 60.00
_cell_angle_beta 60.00
_cell_angle_gamma 60.00
loop_
_atom_site_label
_atom_site_fract_x
_atom_site_fract_y
_atom_site_fract_z
Be1 0.2500 0.2500 0.2500
Be2 0.7500 0.7500 0.7500
Si1 0.0000 0.0000 0.0000
S1 0.5000 0.5000 0.5000


# PBE-GGA BeSiS2, optimized geometry
# Uncorrected energy   -4.5722 eV/atom
# Energy above the lowest structure with this stoichiometry   0 meV per atom
# Energy relative to the elements, uncorrected   -0.22 eV/atom
data_BeSiS2
_symmetry_space_group_name_H-M 'P 1'
_symmetry_Int_Tables_number 1
_symmetry_space_group_name_Hall 'P 1'
_cell_length_a 6.0312
_cell_length_b 6.0312
_cell_length_c 6.0312
_cell_angle_alpha 122.63
_cell_angle_beta 122.63
_cell_angle_gamma 85.50
loop_
_atom_site_label
_atom_site_fract_x
_atom_site_fract_y
_atom_site_fract_z
Be1 0.0000 0.0000 0.0000
Be2 0.7500 0.2500 0.5000
Si1 0.2500 0.7500 0.5000
Si2 0.5000 0.5000 0.0000
S1 0.0607 0.6250 0.9357
S2 0.3750 0.3107 0.4357
S3 0.6893 0.1250 0.0643
S4 0.8750 0.9393 0.5643


# PBE-GGA Be3SiS, optimized geometry
# Uncorrected energy   -3.4733 eV/atom
# Energy above the lowest structure with this stoichiometry   0 meV per atom
# Energy relative to the elements, uncorrected   0.67 eV/atom
data_Be3SiS
_symmetry_space_group_name_H-M 'P 1'
_symmetry_Int_Tables_number 1
_symmetry_space_group_name_Hall 'P 1'
_cell_length_a 4.2435
_cell_length_b 4.2435
_cell_length_c 4.2435
_cell_angle_alpha 90.00
_cell_angle_beta 90.00
_cell_angle_gamma 90.00
loop_
_atom_site_label
_atom_site_fract_x
_atom_site_fract_y
_atom_site_fract_z
Be1 0.0000 0.0000 0.5000
Be2 0.0000 0.5000 0.0000
Be3 0.5000 0.0000 0.0000
Si1 0.0000 0.0000 0.0000
S1 0.5000 0.5000 0.5000


Look up the energy relative to the elements, uncorrected of the first one.
0.73 eV/atom


Which of these has the highest uncorrected energy?
Be3SiS